1.
5
Lattice="5.3626 0.0000 0.0000 0.0000 5.3626 0.0000 0.0000 0.0000 5.5359" Properties=species:S:1:pos:R:3 comment="Ti2SbTeI GGA-PBEsol relaxed" energy_ev_per_atom=-4.54 dos_ef_per_ev_cell=6.768 raw_formation_energy_ev_per_atom=0.756 pbc="T T T"
Ti 0.0000 2.6813 0.0000
Ti 2.6813 0.0000 0.0000
Sb 0.0000 0.0000 0.0000
Te 0.0000 0.0000 2.7679
I 2.6813 2.6813 2.7679

***

2.
5
Lattice="5.6375 0.0000 0.0000 0.0000 5.6375 0.0000 0.0000 0.0000 6.2270" Properties=species:S:1:pos:R:3 comment="YSbTeI2 GGA-PBEsol relaxed" energy_ev_per_atom=-3.85 dos_ef_per_ev_cell=4.231 raw_formation_energy_ev_per_atom=-0.162 pbc="T T T"
Y 0.0000 0.0000 0.0000
Sb 0.0000 0.0000 3.1135
Te 2.8188 2.8188 3.1135
I 0.0000 2.8188 0.0000
I 2.8188 0.0000 0.0000

***

3.
5
Lattice="5.7455 0.0000 0.0000 0.0000 5.7455 0.0000 0.0000 0.0000 5.7202" Properties=species:S:1:pos:R:3 comment="ZrSbTeI2 GGA-PBEsol relaxed" energy_ev_per_atom=-3.42 dos_ef_per_ev_cell=8.274 raw_formation_energy_ev_per_atom=0.725 pbc="T T T"
Zr 0.0000 0.0000 0.0000
Sb 2.8728 2.8728 2.8601
Te 2.8728 2.8728 0.0000
I 0.0000 2.8728 2.8601
I 2.8728 0.0000 2.8601